## RbCd12 (GGA-PBE)

Data for crystalline RbCd12 at its relaxed geometry.

a = 8.667 Å, b = 8.667 Å, c = 8.667 Å
α = 60.00°, β = 60.00°, γ = 60.00°
Fractional positions:
Cd  0.160  0.500  0.500
Cd  0.500  0.500  0.840
Cd  0.160  0.500  0.840
Cd  0.500  0.840  0.160
Cd  0.500  0.160  0.500
Cd  0.500  0.840  0.500
Cd  0.500  0.160  0.840
Cd  0.840  0.160  0.500
Cd  0.840  0.500  0.500
Cd  0.160  0.840  0.500
Cd  0.840  0.500  0.160
Cd  0.500  0.500  0.160
Rb  0.000  0.000  0.000

Properties
- formation enthalpy at 0 K (eV per formula unit) = 2.31
- ΔE to the lowest computed polymorph (meV/atom) = 199.6
- size of the total moment (μB per formula unit) = 0.000
- uncorrected energy (Ry/atom) = -0.054